Record 1
Density functional theory data (PBE) for an optimized crystal structure of LiSb4Te7.

Properties
SG: P-3m1, No. 164
DOS(E_F): 0.342 states/eV/atom

Cell: 4.273 4.273 24.227 Å, 90.00 90.00 120.00°
Element x y z (fractional)
Li: 0.000 0.000 0.500
Sb: 0.667 0.333 0.352
Sb: 0.667 0.333 0.083
Sb: 0.333 0.667 0.648
Sb: 0.333 0.667 0.917
Te: 0.333 0.667 0.431
Te: 0.333 0.667 0.155
Te: 0.000 0.000 0.721
Te: 0.000 0.000 0.000
Te: 0.667 0.333 0.569
Te: 0.000 0.000 0.279
Te: 0.667 0.333 0.845

Record 2
Density functional theory data (PBE) for an optimized crystal structure of KErTcN3.

Properties
SG: C2/m, No. 12
DOS(E_F): 0.312 states/eV/atom

Cell: 3.858 6.964 7.722 Å, 103.72 90.00 106.08°
Element x y z (fractional)
N: 0.163 0.327 0.383
N: 0.489 0.977 0.675
N: 0.862 0.725 0.218
N: 0.511 0.023 0.325
N: 0.837 0.673 0.617
N: 0.138 0.275 0.782
Er: 0.338 0.677 0.433
Er: 0.662 0.323 0.567
K: 0.644 0.288 0.072
K: 0.356 0.712 0.928
Tc: 0.001 0.001 0.326
Tc: 0.999 0.999 0.674

Record 3
Density functional theory data (PBE) for an optimized crystal structure of CaCeSeO2.

Properties
SG: I4mm, No. 107

Cell: 3.893 3.893 6.726 Å, 106.82 106.82 90.00°
Element x y z (fractional)
Ce: 0.158 0.158 0.317
O: 0.744 0.244 0.488
O: 0.244 0.744 0.488
Ca: 0.846 0.846 0.693
Se: 0.507 0.507 0.015

Record 4
Density functional theory data (PBE) for an optimized crystal structure of Te2OsRuO.

Properties
SG: P4/mmm, No. 123
DOS(E_F): 0.826 states/eV/atom

Cell: 5.234 3.583 5.234 Å, 90.00 90.00 90.00°
Element x y z (fractional)
Ru: 0.000 0.000 0.000
O: 0.000 0.500 0.000
Os: 0.500 0.500 0.500
Te: 0.000 0.000 0.500
Te: 0.500 0.000 0.000

Record 5
Density functional theory data (PBE) for an optimized crystal structure of Sm2HoPd3.

Properties
SG: Pmmn, No. 59
DOS(E_F): 0.572 states/eV/atom
ΔH_f (0 K): -0.828 eV/atom

Cell: 3.468 5.057 15.322 Å, 90.00 90.00 90.00°
Element x y z (fractional)
Pd: 0.499 0.000 0.843
Pd: 0.501 0.000 0.500
Pd: 0.499 0.000 0.157
Pd: 0.499 0.500 0.000
Pd: 0.501 0.500 0.343
Pd: 0.501 0.500 0.657
Sm: 0.001 0.000 0.334
Sm: 0.001 0.000 0.666
Sm: 0.999 0.500 0.834
Sm: 0.999 0.500 0.166
Ho: 0.999 0.000 0.000
Ho: 0.001 0.500 0.500

Record 6
Density functional theory data (PBE) for an optimized crystal structure of BAs2IrSe.

Properties
SG: P4/mmm, No. 123
DOS(E_F): 0.847 states/eV/atom

Cell: 4.670 4.670 5.452 Å, 90.00 90.00 90.00°
Element x y z (fractional)
As: 0.500 0.000 0.000
As: 0.000 0.500 0.000
B: 0.500 0.500 0.500
Ir: 0.000 0.000 0.000
Se: 0.000 0.000 0.500

Record 7
Density functional theory data (PBE) for an optimized crystal structure of K2TlOs.

Properties
SG: P2/m, No. 10
DOS(E_F): 0.659 states/eV/atom
ΔH_f (0 K): 1.034 eV/atom

Cell: 5.689 2.958 6.645 Å, 64.98 90.00 90.00°
Element x y z (fractional)
K: 0.000 0.994 0.012
K: 0.000 0.506 0.488
Tl: 0.500 0.750 0.750
Os: 0.500 0.250 0.250

Record 8
Density functional theory data (PBE) for an optimized crystal structure of ScInGaSi2.

Properties
SG: P4/mmm, No. 123
DOS(E_F): 0.581 states/eV/atom

Cell: 5.081 5.323 5.081 Å, 90.00 90.00 90.00°
Element x y z (fractional)
Ga: 0.000 0.500 0.000
In: 0.500 0.500 0.500
Si: 0.000 0.000 0.500
Si: 0.500 0.000 0.000
Sc: 0.000 0.000 0.000

Record 9
Density functional theory data (PBE) for an optimized crystal structure of CdAs2Ru.

Properties
SG: P4/mmm, No. 123
DOS(E_F): 0.951 states/eV/atom
ΔH_f (0 K): 0.359 eV/atom

Cell: 4.501 4.501 3.469 Å, 90.00 90.00 90.00°
Each line ends with the local moment (μB).
Element x y z (fractional)
Ru: 0.000 0.500 0.500  0.15
As: 0.000 0.000 0.000  0.00
As: 0.500 0.500 0.000  0.00
Cd: 0.500 0.000 0.500  0.00

Record 10
Density functional theory data (PBE) for an optimized crystal structure of Pm2YErTl2.

Properties
SG: Pmc2_1, No. 26
DOS(E_F): 1.083 states/eV/atom
ΔH_f (0 K): -0.279 eV/atom

Cell: 5.130 6.886 10.134 Å, 90.00 90.00 90.00°
Element x y z (fractional)
Tl: 0.500 0.719 0.625
Tl: 0.000 0.799 0.143
Tl: 0.500 0.219 0.375
Tl: 0.000 0.299 0.857
Pm: 0.000 0.331 0.187
Pm: 0.500 0.057 0.044
Pm: 0.000 0.831 0.813
Pm: 0.500 0.557 0.956
Y: 0.000 0.961 0.457
Y: 0.000 0.461 0.543
Er: 0.500 0.178 0.685
Er: 0.500 0.678 0.315

Record 11
Density functional theory data (PBE) for an optimized crystal structure of Er3TmCu2.

Properties
SG: Ibam, No. 72
DOS(E_F): 1.128 states/eV/atom
ΔH_f (0 K): -0.001 eV/atom

Cell: 6.710 7.078 8.246 Å, 115.41 114.01 90.00°
Element x y z (fractional)
Cu: 0.150 0.859 0.718
Cu: 0.567 0.359 0.718
Cu: 0.850 0.141 0.282
Cu: 0.433 0.641 0.282
Er: 0.500 0.750 0.000
Er: 0.767 0.517 0.533
Er: 0.767 0.017 0.533
Er: 0.233 0.983 0.467
Er: 0.233 0.483 0.467
Er: 0.500 0.250 0.000
Tm: 0.000 0.500 0.000
Tm: 0.000 0.000 0.000

Record 12
Density functional theory data (PBE) for an optimized crystal structure of K2TaNi.

Properties
SG: C2/m, No. 12
DOS(E_F): 1.165 states/eV/atom
ΔH_f (0 K): 0.646 eV/atom

Cell: 10.700 10.700 4.148 Å, 78.38 78.38 15.82°
Each line ends with the local moment (μB).
Element x y z (fractional)
Ta: 0.250 0.250 0.250  0.11
Ni: 0.750 0.750 0.750  0.05
K: 0.395 0.395 0.599  0.01
K: 0.105 0.105 0.901  0.01

Record 13
Density functional theory data (PBE) for an optimized crystal structure of TiV2Rh.

Properties
SG: P4/mmm, No. 123
DOS(E_F): 1.351 states/eV/atom
ΔH_f (0 K): -0.235 eV/atom

Cell: 4.504 3.580 3.580 Å, 90.00 90.00 90.00°
Element x y z (fractional)
Ti: 0.500 0.500 0.500
V: 0.000 0.000 0.500
V: 0.000 0.500 0.000
Rh: 0.500 0.000 0.000

Record 14
Density functional theory data (PBE) for an optimized crystal structure of Pm6Nd2In.

Properties
SG: C2/c, No. 15
DOS(E_F): 1.436 states/eV/atom
ΔH_f (0 K): -0.087 eV/atom

Cell: 6.346 12.108 11.288 Å, 45.95 106.33 105.20°
Element x y z (fractional)
Pm: 0.123 0.866 0.029
Pm: 0.539 0.975 0.812
Pm: 0.773 0.366 0.529
Pm: 0.248 0.474 0.313
Pm: 0.004 0.089 0.591
Pm: 0.877 0.134 0.971
Pm: 0.324 0.411 0.909
Pm: 0.461 0.025 0.188
Pm: 0.996 0.911 0.409
Pm: 0.227 0.634 0.471
Pm: 0.752 0.526 0.687
Pm: 0.676 0.589 0.091
Nd: 0.561 0.803 0.643
Nd: 0.886 0.303 0.143
Nd: 0.439 0.197 0.357
Nd: 0.114 0.697 0.857
In: 0.328 0.250 0.750
In: 0.672 0.750 0.250

Record 15
Density functional theory data (PBE) for an optimized crystal structure of ErTm3Ni.

Properties
SG: P2_1/c, No. 14
DOS(E_F): 1.067 states/eV/atom
ΔH_f (0 K): -0.127 eV/atom

Cell: 7.041 7.812 9.825 Å, 107.01 90.00 90.00°
Element x y z (fractional)
Tm: 0.131 0.086 0.395
Tm: 0.369 0.086 0.895
Tm: 0.990 0.219 0.123
Tm: 0.291 0.566 0.026
Tm: 0.209 0.566 0.526
Tm: 0.869 0.914 0.605
Tm: 0.010 0.781 0.877
Tm: 0.709 0.434 0.974
Tm: 0.791 0.434 0.474
Tm: 0.490 0.781 0.377
Tm: 0.631 0.914 0.105
Tm: 0.510 0.219 0.623
Ni: 0.761 0.063 0.892
Ni: 0.261 0.937 0.608
Ni: 0.239 0.937 0.108
Ni: 0.739 0.063 0.392
Er: 0.960 0.687 0.260
Er: 0.460 0.313 0.240
Er: 0.040 0.313 0.740
Er: 0.540 0.687 0.760

Record 16
Density functional theory data (PBE) for an optimized crystal structure of ThH9Ru2.

Properties
SG: I4_1/amd, No. 141
DOS(E_F): 0.207 states/eV/atom

Cell: 5.115 6.445 6.445 Å, 80.94 66.62 66.62°
Element x y z (fractional)
H: 0.618 0.329 0.104
H: 0.618 0.104 0.329
H: 0.750 0.500 0.500
H: 0.698 0.829 0.604
H: 0.278 0.104 0.671
H: 0.472 0.396 0.829
H: 0.052 0.896 0.329
H: 0.052 0.671 0.896
H: 0.698 0.171 0.604
H: 0.052 0.896 0.671
H: 0.052 0.329 0.896
H: 0.278 0.671 0.104
H: 0.698 0.604 0.829
H: 0.472 0.829 0.396
H: 0.000 0.000 0.000
H: 0.698 0.604 0.171
H: 0.132 0.396 0.171
H: 0.132 0.171 0.396
Ru: 0.375 0.750 0.750
Ru: 0.875 0.250 0.750
Ru: 0.875 0.250 0.250
Ru: 0.875 0.750 0.250
Th: 0.500 0.000 0.000
Th: 0.250 0.500 0.500

Record 17
Density functional theory data (PBE) for an optimized crystal structure of Sc3NbPt.

Properties
SG: Pm-3m, No. 221
DOS(E_F): 0.787 states/eV/atom
ΔH_f (0 K): 0.588 eV/atom

Cell: 4.888 4.888 4.888 Å, 90.00 90.00 90.00°
Element x y z (fractional)
Sc: 0.000 0.000 0.500
Sc: 0.000 0.500 0.000
Sc: 0.500 0.000 0.000
Nb: 0.000 0.000 0.000
Pt: 0.500 0.500 0.500

Record 18
Density functional theory data (PBE) for an optimized crystal structure of PuZn2Sb2.

Properties
SG: P2_1/m, No. 11
DOS(E_F): 2.040 states/eV/atom

Cell: 4.350 4.404 11.704 Å, 90.00 100.89 90.00°
Each line ends with the local moment (μB).
Element x y z (fractional)
Zn: 0.965 0.250 0.924  0.03
Zn: 0.469 0.750 0.939  0.01
Zn: 0.035 0.750 0.076  0.03
Zn: 0.531 0.250 0.061  0.01
Pu: 0.642 0.750 0.288  5.30
Pu: 0.358 0.250 0.712  5.30
Sb: 0.883 0.750 0.760  -0.04
Sb: 0.750 0.250 0.499  -0.05
Sb: 0.250 0.750 0.501  -0.05
Sb: 0.117 0.250 0.240  -0.04

Record 19
Density functional theory data (PBE) for an optimized crystal structure of Tm6Ni2Pb.

Properties
SG: Immm, No. 71
DOS(E_F): 0.863 states/eV/atom
ΔH_f (0 K): -0.375 eV/atom

Cell: 8.347 8.347 8.347 Å, 105.98 109.63 112.88°
Element x y z (fractional)
Ni: 0.500 0.625 0.125
Ni: 0.354 0.000 0.354
Ni: 0.646 0.000 0.646
Ni: 0.500 0.375 0.875
Tm: 0.309 0.635 0.326
Tm: 0.209 0.232 0.442
Tm: 0.691 0.016 0.326
Tm: 0.791 0.768 0.558
Tm: 0.112 0.294 0.818
Tm: 0.523 0.706 0.818
Tm: 0.309 0.984 0.674
Tm: 0.691 0.365 0.674
Tm: 0.791 0.232 0.023
Tm: 0.209 0.768 0.977
Tm: 0.477 0.294 0.182
Tm: 0.888 0.706 0.182
Pb: 0.000 0.000 0.000
Pb: 0.000 0.500 0.500

Record 20
Density functional theory data (PBE) for an optimized crystal structure of Sr2YTaN4.

Properties
SG: Imma, No. 74
DOS(E_F): 0.022 states/eV/atom

Cell: 6.968 6.968 7.072 Å, 120.50 120.50 90.22°
Element x y z (fractional)
N: 0.756 0.744 0.957
N: 0.244 0.256 0.457
N: 0.200 0.767 0.984
N: 0.733 0.300 0.516
N: 0.756 0.744 0.543
N: 0.244 0.256 0.043
N: 0.267 0.700 0.484
N: 0.800 0.233 0.016
Ta: 0.000 0.000 0.000
Ta: 0.500 0.500 0.500
Sr: 0.500 0.000 0.000
Sr: 0.500 0.500 0.000
Sr: 0.500 0.000 0.500
Sr: 0.000 0.000 0.500
Y: 0.000 0.500 0.500
Y: 0.000 0.500 0.000

no.,raw total energy (eV per atom)
1,-3.58
2,-7.33
3,-7.07
4,-5.81
5,-5.76
6,-4.29
7,-2.91
8,-3.98
9,-4.51
10,-4.49
11,-4.39
12,-4.31
13,-8.61
14,-4.62
15,-4.88
16,-4.59
17,-6.43
18,-5.32
19,-5.05
20,-7.97